Entry 1:
An optimized crystal structure of SmInRh, computed with GGA-PBE.

Output
The spin magnetization is 0.00 μB/f.u. As for the crystal system: hexagonal. As for the electronic total energy: -5.459 eV per atom.

abc: 3.621 4.683 4.683
angles: 120.00 90.00 90.00
Sites, in units of the cell vectors:
Sm  0.667  0.667  0.333
Rh  0.167  0.000  0.000
In  0.167  0.333  0.667

Entry 2:
An optimized crystal structure of Sm3InRh8, computed with GGA-PBE.

Output
The spin magnetization is 0.00 μB/f.u. As for the crystal system: trigonal. As for the electronic total energy: -6.884 eV per atom.

abc: 5.343 5.343 9.315
angles: 73.33 73.33 60.00
Sites, in units of the cell vectors:
Rh  0.688  0.688  0.937
Rh  0.937  0.437  0.189
Rh  0.437  0.937  0.189
Rh  0.938  0.439  0.685
Rh  0.439  0.938  0.685
Rh  0.938  0.938  0.685
Rh  0.437  0.437  0.189
Rh  0.188  0.188  0.436
Sm  0.503  0.503  0.490
Sm  0.996  0.996  0.012
Sm  0.376  0.376  0.873
In  0.874  0.874  0.379

Entry 3:
An optimized crystal structure of SmInRh, computed with GGA-PBE.

Output
The spin magnetization is 0.00 μB/f.u. As for the crystal system: monoclinic. As for the electronic total energy: -5.520 eV per atom.

abc: 5.441 7.363 7.360
angles: 83.39 79.29 79.29
Sites, in units of the cell vectors:
Rh  0.104  0.949  0.199
Rh  0.896  0.551  0.301
Rh  0.896  0.051  0.801
Rh  0.104  0.449  0.699
Sm  0.798  0.321  0.071
Sm  0.202  0.179  0.429
Sm  0.202  0.679  0.929
Sm  0.798  0.821  0.571
In  0.646  0.886  0.136
In  0.646  0.386  0.636
In  0.354  0.114  0.864
In  0.354  0.614  0.364

Entry 4:
An optimized crystal structure of Sm3InRh4, computed with GGA-PBE.

Output
The spin magnetization is 0.00 μB/f.u. As for the crystal system: tetragonal. As for the electronic total energy: -6.454 eV per atom.

abc: 4.832 6.912 9.663
angles: 90.00 90.00 90.00
Sites, in units of the cell vectors:
In  0.000  0.500  0.500
In  0.000  0.500  0.000
Sm  0.500  0.000  0.750
Sm  0.500  0.500  0.750
Sm  0.000  0.000  0.000
Sm  0.500  0.000  0.250
Sm  0.500  0.500  0.250
Sm  0.000  0.000  0.500
Rh  0.000  0.254  0.250
Rh  0.500  0.253  0.500
Rh  0.500  0.253  0.000
Rh  0.000  0.254  0.750
Rh  0.500  0.747  0.000
Rh  0.500  0.747  0.500
Rh  0.000  0.746  0.750
Rh  0.000  0.746  0.250

Entry 5:
An optimized crystal structure of Sm2InSn3Rh4, computed with GGA-PBE.

Output
The spin magnetization is 0.00 μB/f.u. As for the crystal system: tetragonal. As for the electronic total energy: -6.019 eV per atom.

abc: 4.437 4.437 10.937
angles: 90.00 90.00 90.00
Sites, in units of the cell vectors:
Rh  0.000  0.000  0.000
Rh  0.500  0.500  0.000
Rh  0.500  0.000  0.637
Rh  0.000  0.500  0.363
Sm  0.500  0.000  0.246
Sm  0.000  0.500  0.754
In  0.500  0.500  0.500
Sn  0.000  0.500  0.129
Sn  0.500  0.000  0.871
Sn  0.000  0.000  0.500

Entry 6:
An optimized crystal structure of Sm2InSn2Rh5, computed with GGA-PBE.

Output
The spin magnetization is 0.00 μB/f.u. As for the crystal system: tetragonal. As for the electronic total energy: -6.249 eV per atom.

abc: 3.743 10.257 10.257
angles: 90.00 90.00 90.00
Sites, in units of the cell vectors:
Sn  0.000  0.127  0.627
Sn  0.000  0.873  0.373
Sn  0.000  0.627  0.873
Sn  0.000  0.373  0.127
Sm  0.000  0.172  0.328
Sm  0.000  0.328  0.828
Sm  0.000  0.672  0.172
Sm  0.000  0.828  0.672
Rh  0.500  0.203  0.061
Rh  0.500  0.500  0.000
Rh  0.500  0.703  0.439
Rh  0.500  0.297  0.561
Rh  0.500  0.061  0.797
Rh  0.500  0.797  0.939
Rh  0.500  0.000  0.500
Rh  0.500  0.939  0.203
Rh  0.500  0.561  0.703
Rh  0.500  0.439  0.297
In  0.000  0.500  0.500
In  0.000  0.000  0.000